Computed, not measured: a relaxed YAlZn crystal at the PBE level of DFT.

Computed properties:
SG = I4/mmm, No. 139
Uncorrected energy = -25.50 eV/cell
Formation energy = -0.42 eV per atom
Density = 4.79 g/cm³

```
YAlZn
1.0
-2.0542 2.0542 7.4443
2.0542 -2.0542 7.4443
2.0542 2.0542 -7.4443
Y Al Zn
2 2 2
direct
0.1654 0.1654 0.0000
0.8346 0.8346 0.0000
0.0000 0.5000 0.5000
0.5000 0.0000 0.5000
0.3780 0.3780 0.0000
0.6220 0.6220 0.0000
```

=====

Computed, not measured: a relaxed PmThAgAu crystal at the PBE level of DFT.

Computed properties:
SG = P4mm, No. 99
Uncorrected energy = -19.93 eV/cell
Formation energy = -0.41 eV per atom
ΔE to the lowest computed polymorph = 0 meV/atom
Density = 11.02 g/cm³

```
PmThAgAu
1.0
3.6566 0.0000 0.0000
0.0000 3.6566 0.0000
0.0000 0.0000 7.6863
Pm Th Ag Au
1 1 1 1
direct
0.0000 0.0000 0.0000
0.0000 0.0000 0.5112
0.5000 0.5000 0.2473
0.5000 0.5000 0.7617
```

=====

Computed, not measured: a relaxed SrLaHf2I crystal at the PBE level of DFT.

Computed properties:
SG = P4/mmm, No. 123
Uncorrected energy = -23.84 eV/cell
Formation energy from raw total energies = 4.2 eV per formula unit
Density = 6.41 g/cm³

```
SrLaHf2I
1.0
5.3509 0.0000 0.0000
0.0000 5.3509 0.0000
0.0000 0.0000 6.4281
Sr La Hf I
1 1 2 1
direct
0.0000 0.0000 0.0000
0.5000 0.5000 0.5000
0.0000 0.5000 0.5000
0.5000 0.0000 0.5000
0.5000 0.5000 0.0000
```

=====

Computed, not measured: a relaxed Ge2PPd crystal at the PBE level of DFT.

Computed properties:
SG = I-42d, No. 122
Uncorrected energy = -39.88 eV/cell
Formation energy = -0.03 eV per atom
Density = 5.38 g/cm³

```
Ge2PPd
1.0
-2.8974 2.8974 5.1968
2.8974 -2.8974 5.1968
2.8974 2.8974 -5.1968
Ge P Pd
4 2 2
direct
0.1213 0.6250 0.9963
0.3750 0.3713 0.4963
0.6287 0.1250 0.0037
0.8750 0.8787 0.5037
0.0000 0.0000 0.0000
0.7500 0.2500 0.5000
0.2500 0.7500 0.5000
0.5000 0.5000 0.0000
```

=====

Computed, not measured: a relaxed SiIBrO2 crystal at the PBE level of DFT.

Computed properties:
SG = P4/mmm, No. 123
Uncorrected energy = -14.77 eV/cell
Formation energy from raw total energies = 3.8 eV per formula unit
ΔE to the lowest computed polymorph = 1112 meV/atom
Density = 4.00 g/cm³

```
SiIBrO2
1.0
3.9812 0.0000 0.0000
0.0000 3.9812 0.0000
0.0000 0.0000 6.9976
Si I Br O
1 1 1 2
direct
0.0000 0.0000 0.0000
0.5000 0.5000 0.0000
0.5000 0.5000 0.5000
0.0000 0.5000 0.5000
0.5000 0.0000 0.5000
```

=====

Computed, not measured: a relaxed ScCdCu2 crystal at the PBE level of DFT.

Computed properties:
SG = Cm, No. 8
Uncorrected energy = -15.81 eV/cell
Formation energy = -0.09 eV per atom
Density = 7.06 g/cm³

```
ScCdCu2
1.0
4.3876 -2.0795 0.0000
4.3876 2.0795 0.0000
-1.9570 0.0000 3.6653
Sc Cd Cu
1 1 2
direct
0.0000 0.0000 0.0000
0.7498 0.7498 0.2507
0.2502 0.2502 0.7494
0.4998 0.4998 0.5008
```

=====

Computed, not measured: a relaxed Pr2ErS2O2 crystal at the PBE level of DFT.

Computed properties:
SG = I4/mmm, No. 139
Uncorrected energy = -49.80 eV/cell
Formation energy from raw total energies = -17.5 eV per formula unit
Density = 6.58 g/cm³

```
Pr2ErS2O2
1.0
-2.1338 2.1338 7.5532
2.1338 -2.1338 7.5532
2.1338 2.1338 -7.5532
Pr Er S O
2 1 2 2
direct
0.1333 0.1333 0.0000
0.8667 0.8667 0.0000
0.5000 0.5000 0.0000
0.3224 0.3224 0.0000
0.6776 0.6776 0.0000
0.0000 0.5000 0.5000
0.5000 0.0000 0.5000
```

=====

Computed, not measured: a relaxed CsZr2Hg crystal at the PBE level of DFT.

Computed properties:
SG = I-42d, No. 122
Uncorrected energy = -29.33 eV/cell
Formation energy = 0.90 eV per atom
Density = 6.52 g/cm³

```
CsZr2Hg
1.0
-2.3913 2.3913 11.4928
2.3913 -2.3913 11.4928
2.3913 2.3913 -11.4928
Cs Zr Hg
2 4 2
direct
0.0000 0.0000 0.0000
0.7500 0.2500 0.5000
0.2482 0.6250 0.1232
0.3750 0.4982 0.6232
0.5018 0.1250 0.8768
0.8750 0.7518 0.3768
0.2500 0.7500 0.5000
0.5000 0.5000 0.0000
```

=====

Computed, not measured: a relaxed Cs3Ba2CeO6 crystal at the PBE level of DFT.

Computed properties:
SG = C2/m, No. 12
Uncorrected energy = -67.67 eV/cell
Formation energy from raw total energies = -25.6 eV per formula unit
Density = 5.48 g/cm³

```
Cs3Ba2CeO6
1.0
3.4002 -5.8737 0.0000
3.4002 5.8737 0.0000
-2.2720 0.0000 6.9045
Cs Ba Ce O
3 2 1 6
direct
0.0000 0.0000 0.0000
0.3349 0.6651 0.0000
0.6651 0.3349 0.0000
0.1663 0.8337 0.5000
0.8337 0.1663 0.5000
0.5000 0.5000 0.5000
0.1562 0.4399 0.3207
0.2751 0.2751 0.6832
0.4399 0.1562 0.3207
0.5601 0.8438 0.6793
0.7249 0.7249 0.3168
0.8438 0.5601 0.6793
```

=====

Computed, not measured: a relaxed LiYEr2 crystal at the PBE level of DFT.

Computed properties:
SG = R-3m, No. 166
Uncorrected energy = -16.73 eV/cell
Formation energy = 0.19 eV per atom
ΔE to the lowest computed polymorph = 119 meV/atom
Density = 5.75 g/cm³

```
LiYEr2
1.0
1.7220 0.9942 12.0930
-1.7220 0.9942 12.0930
0.0000 -1.9883 12.0930
Li Y Er
1 1 2
direct
0.0000 0.0000 0.0000
0.5000 0.5000 0.5000
0.0885 0.0885 0.0885
0.9115 0.9115 0.9115
```

=====

Computed, not measured: a relaxed Sr2GePd crystal at the PBE level of DFT.

Computed properties:
SG = I-42d, No. 122
Uncorrected energy = -27.73 eV/cell
Formation energy = -0.17 eV per atom
Density = 4.94 g/cm³

```
Sr2GePd
1.0
-4.1624 4.1624 3.4367
4.1624 -4.1624 3.4367
4.1624 4.1624 -3.4367
Sr Ge Pd
4 2 2
direct
0.1042 0.6250 0.9792
0.3750 0.3542 0.4792
0.6458 0.1250 0.0208
0.8750 0.8958 0.5208
0.2500 0.7500 0.5000
0.5000 0.5000 0.0000
0.0000 0.0000 0.0000
0.7500 0.2500 0.5000
```

=====

Computed, not measured: a relaxed NdSm2Ho3P6 crystal at the PBE level of DFT.

Computed properties:
SG = C2/m, No. 12
Uncorrected energy = -79.37 eV/cell
Formation energy = -1.58 eV per atom
Density = 6.59 g/cm³

```
NdSm2Ho3P6
1.0
3.5152 -6.0872 0.0000
3.5152 6.0872 0.0000
-2.3406 0.0000 6.6249
Nd Sm Ho P
1 2 3 6
direct
0.0000 0.0000 0.0000
0.3332 0.6668 0.0000
0.6668 0.3332 0.0000
0.1663 0.8337 0.5000
0.5000 0.5000 0.5000
0.8337 0.1663 0.5000
0.0862 0.4214 0.2585
0.2491 0.2491 0.7416
0.4214 0.0862 0.2585
0.5786 0.9138 0.7415
0.7509 0.7509 0.2584
0.9138 0.5786 0.7415
```

=====

Computed, not measured: a relaxed Ta4Be2H crystal at the PBE level of DFT.

Computed properties:
SG = I4/mmm, No. 139
Uncorrected energy = -57.47 eV/cell
Density = 12.81 g/cm³

```
Ta4Be2H
1.0
-1.8611 1.8611 6.9486
1.8611 -1.8611 6.9486
1.8611 1.8611 -6.9486
Ta Be H
4 2 1
direct
0.0000 0.5000 0.5000
0.1844 0.1844 0.0000
0.5000 0.0000 0.5000
0.8156 0.8156 0.0000
0.3659 0.3659 0.0000
0.6341 0.6341 0.0000
0.0000 0.0000 0.0000
```

=====

Computed, not measured: a relaxed YInRe crystal at the PBE level of DFT.

Computed properties:
SG = Fmm2, No. 42
Uncorrected energy = -20.56 eV/cell
Formation energy = 0.36 eV per atom
ΔE to the lowest computed polymorph = 150 meV/atom
Density = 10.09 g/cm³

```
YInRe
1.0
0.0000 2.4322 6.8677
1.9200 0.0000 6.8677
1.9200 2.4322 0.0000
Y In Re
1 1 1
direct
0.0000 0.0000 0.0000
0.3052 0.3052 0.6948
0.6555 0.6555 0.3445
```

=====

Computed, not measured: a relaxed GaCu2AsS4 crystal at the PBE level of DFT.

Computed properties:
SG = Pmn2_1, No. 31
Uncorrected energy = -69.38 eV/cell
Formation energy from raw total energies = -2.3 eV per formula unit
Density = 4.10 g/cm³

```
GaCu2AsS4
1.0
7.8443 0.0000 0.0000
0.0000 6.5575 0.0000
0.0000 0.0000 6.2976
Ga Cu As S
2 4 2 8
direct
0.0000 0.1740 0.0000
0.5000 0.8260 0.5000
0.2495 0.6761 0.0049
0.2505 0.3239 0.5049
0.7495 0.3239 0.5049
0.7505 0.6761 0.0049
0.0000 0.8356 0.4960
0.5000 0.1644 0.9960
0.0000 0.1876 0.3718
0.0000 0.8371 0.8967
0.2317 0.3475 0.8665
0.2683 0.6525 0.3665
0.5000 0.1629 0.3967
0.5000 0.8124 0.8718
0.7317 0.6525 0.3665
0.7683 0.3475 0.8665
```

=====

Computed, not measured: a relaxed Ba3InSn2 crystal at the PBE level of DFT.

Computed properties:
SG = P2_1/c, No. 14
Uncorrected energy = -79.24 eV/cell
Formation energy = -0.55 eV per atom
Density = 5.19 g/cm³

```
Ba3InSn2
1.0
9.4763 0.0000 0.0000
0.0000 10.5829 0.0000
-3.3079 0.0000 9.7590
Ba In Sn
12 4 8
direct
0.1537 0.1820 0.3991
0.1537 0.3180 0.8991
0.2578 0.5837 0.6386
0.2578 0.9163 0.1386
0.2615 0.5417 0.2386
0.2615 0.9583 0.7386
0.7385 0.0417 0.2614
0.7385 0.4583 0.7614
0.7422 0.0837 0.8614
0.7422 0.4163 0.3614
0.8463 0.6820 0.1009
0.8463 0.8180 0.6009
0.4416 0.6432 0.9932
0.4416 0.8568 0.4932
0.5584 0.1432 0.5068
0.5584 0.3568 0.0068
0.1036 0.6717 0.8949
0.1036 0.8283 0.3949
0.4135 0.2300 0.2092
0.4135 0.2700 0.7092
0.5865 0.7300 0.2908
0.5865 0.7700 0.7908
0.8964 0.1717 0.6051
0.8964 0.3283 0.1051
```

=====

Computed, not measured: a relaxed Ce2BeNi4P3 crystal at the PBE level of DFT.

Computed properties:
SG = P-4m2, No. 115
Uncorrected energy = -64.36 eV/cell
Formation energy = -0.94 eV per atom
Density = 7.16 g/cm³

```
Ce2BeNi4P3
1.0
3.9280 0.0000 0.0000
0.0000 3.9280 0.0000
0.0000 0.0000 9.2782
Ce Be Ni P
2 1 4 3
direct
0.0000 0.5000 0.2477
0.5000 0.0000 0.7523
0.5000 0.5000 0.0000
0.0000 0.0000 0.5000
0.0000 0.5000 0.8800
0.5000 0.0000 0.1200
0.5000 0.5000 0.5000
0.0000 0.0000 0.0000
0.0000 0.5000 0.6339
0.5000 0.0000 0.3661
```

=====

Computed, not measured: a relaxed ThTiH crystal at the PBE level of DFT.

Computed properties:
SG = Pnma, No. 62
Uncorrected energy = -75.08 eV/cell
Density = 9.12 g/cm³

```
ThTiH
1.0
10.7920 0.0000 0.0000
0.0000 3.2539 0.0000
0.0000 0.0000 5.8276
Th Ti H
4 4 4
direct
0.2250 0.2500 0.0501
0.2750 0.7500 0.5501
0.7250 0.2500 0.4499
0.7750 0.7500 0.9499
0.0129 0.2500 0.7020
0.4871 0.7500 0.2020
0.5129 0.2500 0.7980
0.9871 0.7500 0.2980
0.0826 0.2500 0.3912
0.4174 0.7500 0.8912
0.5826 0.2500 0.1088
0.9174 0.7500 0.6088
```

=====

Computed, not measured: a relaxed Ac3Ag2S6 crystal at the PBE level of DFT.

Computed properties:
SG = I4/mmm, No. 139
Uncorrected energy = -58.14 eV/cell
Formation energy from raw total energies = -15.3 eV per formula unit
Density = 6.53 g/cm³

```
Ac3Ag2S6
1.0
-2.4336 2.4336 11.6845
2.4336 -2.4336 11.6845
2.4336 2.4336 -11.6845
Ac Ag S
3 2 6
direct
0.0000 0.0000 0.0000
0.1745 0.1745 0.0000
0.8255 0.8255 0.0000
0.4258 0.4258 0.0000
0.5742 0.5742 0.0000
0.0821 0.5821 0.5000
0.2967 0.2967 0.0000
0.4179 0.9179 0.5000
0.5821 0.0821 0.5000
0.7033 0.7033 0.0000
0.9179 0.4179 0.5000
```

=====

Computed, not measured: a relaxed Rb2SrSeBr6 crystal at the PBE level of DFT.

Computed properties:
SG = I4/mmm, No. 139
Uncorrected energy = -29.04 eV/cell
Formation energy from raw total energies = -11.9 eV per formula unit
Density = 3.28 g/cm³

```
Rb2SrSeBr6
1.0
-4.3064 4.3064 5.5705
4.3064 -4.3064 5.5705
4.3064 4.3064 -5.5705
Rb Sr Se Br
2 1 1 6
direct
0.2500 0.7500 0.5000
0.7500 0.2500 0.5000
0.0000 0.0000 0.0000
0.5000 0.5000 0.0000
0.2445 0.2445 0.4889
0.2445 0.7555 0.0000
0.2730 0.2730 0.0000
0.7270 0.7270 0.0000
0.7555 0.2445 0.0000
0.7555 0.7555 0.5111
```